Sr2ZrTe (PBE, relaxed); DOS(E_F) = 1.13 states/eV/atom; VASP energy = -15.23 eV/cell; formation energy from raw total energies = -0.176 eV/f.u.
1.0
6.699 -0.001 0.000
3.194 5.889 0.000
-4.947 -2.944 3.427
Sr Te Zr
2 1 1
Direct
0.000 0.000 0.000 Sr
0.250 0.750 0.500 Sr
0.500 0.500 0.000 Te
0.750 0.250 0.500 Zr

=====

ZnSn2P2O10 (PBE, relaxed); DOS(E_F) = 0.00 states/eV/atom; VASP energy = -194.26 eV/cell; formation energy from raw total energies = -27.447 eV/f.u.
1.0
6.296 -1.558 8.418
2.266 4.345 8.020
-1.689 -4.993 4.844
Zn Sn P O
2 4 4 20
Direct
0.741 0.759 0.759 Zn
0.491 0.509 0.509 Zn
0.384 0.895 0.337 Sn
0.384 0.337 0.895 Sn
0.355 0.866 0.866 Sn
0.913 0.866 0.866 Sn
0.567 0.013 0.439 P
0.237 0.683 0.270 P
0.980 0.439 0.013 P
0.811 0.270 0.683 P
0.738 0.583 0.211 O
0.223 0.621 0.806 O
0.678 0.282 0.624 O
0.039 0.782 0.512 O
0.101 0.211 0.904 O
0.115 0.401 0.090 O
0.629 0.027 0.900 O
0.350 0.806 0.621 O
0.444 0.900 0.027 O
0.039 0.149 0.466 O
0.468 0.211 0.583 O
0.346 0.466 0.149 O
0.784 0.904 0.211 O
0.849 0.135 0.856 O
0.394 0.090 0.401 O
0.160 0.856 0.135 O
0.626 0.834 0.572 O
0.416 0.624 0.282 O
0.667 0.512 0.782 O
0.968 0.572 0.834 O

=====

TbPrNdEr3 (PBE, relaxed); DOS(E_F) = 1.46 states/eV/atom; VASP energy = -55.44 eV/cell; formation energy from the elements = 0.1 eV/f.u.
1.0
5.067 0.000 0.000
-2.533 7.588 0.000
0.000 0.000 10.137
Tb Pr Nd Er
2 2 2 6
Direct
0.831 0.662 0.750 Tb
0.169 0.338 0.250 Tb
0.000 0.000 0.500 Pr
0.000 0.000 0.000 Pr
0.500 0.001 0.750 Nd
0.500 0.999 0.250 Nd
0.669 0.338 0.500 Er
0.331 0.662 0.500 Er
0.331 0.662 0.000 Er
0.669 0.338 0.000 Er
0.169 0.337 0.750 Er
0.831 0.663 0.250 Er

=====

Ac8Ge3I4Cl (PBE, relaxed); DOS(E_F) = 0.59 states/eV/atom; VASP energy = -71.45 eV/cell; formation energy from raw total energies = -16.688 eV/f.u.
1.0
9.094 0.000 0.000
0.000 9.687 0.413
-4.547 -4.547 6.434
Ac Ge I Cl
8 3 4 1
Direct
0.234 0.702 0.967 Ac
0.234 0.702 0.469 Ac
0.266 0.297 0.531 Ac
0.733 0.702 0.967 Ac
0.267 0.298 0.033 Ac
0.734 0.703 0.469 Ac
0.766 0.298 0.531 Ac
0.766 0.298 0.033 Ac
0.500 0.500 0.000 Ge
0.500 0.500 0.500 Ge
0.000 0.500 0.500 Ge
0.500 0.000 0.000 I
0.500 0.000 0.500 I
0.000 0.000 0.000 I
0.000 0.000 0.500 I
0.000 0.500 0.000 Cl

=====

Ca2AlOs (PBE, relaxed); DOS(E_F) = 0.95 states/eV/atom; VASP energy = -18.04 eV/cell; formation energy from the elements = 0.9 eV/f.u.
1.0
-2.554 -0.098 4.310
-2.057 -4.539 -0.520
4.901 0.970 -0.388
Ca Os Al
2 1 1
Direct
0.000 0.000 0.000 Ca
0.250 0.750 0.500 Ca
0.500 0.500 0.000 Os
0.750 0.250 0.500 Al

=====

CeErAu (PBE, relaxed); DOS(E_F) = 1.97 states/eV/atom; excess energy over the best structure of this formula in the dataset = 0.00 kJ per mole of atoms; VASP energy = -15.09 eV/cell; formation energy from the elements = -1.3 eV/f.u.
1.0
3.565 0.000 0.000
0.000 3.565 0.000
-1.782 -1.782 6.329
Au Ce Er
1 1 1
Direct
0.678 0.678 0.356 Au
0.015 0.015 0.030 Ce
0.307 0.307 0.613 Er

=====

Repeat the third record exactly.
TbPrNdEr3 (PBE, relaxed); DOS(E_F) = 1.46 states/eV/atom; VASP energy = -55.44 eV/cell; formation energy from the elements = 0.1 eV/f.u.
1.0
5.067 0.000 0.000
-2.533 7.588 0.000
0.000 0.000 10.137
Tb Pr Nd Er
2 2 2 6
Direct
0.831 0.662 0.750 Tb
0.169 0.338 0.250 Tb
0.000 0.000 0.500 Pr
0.000 0.000 0.000 Pr
0.500 0.001 0.750 Nd
0.500 0.999 0.250 Nd
0.669 0.338 0.500 Er
0.331 0.662 0.500 Er
0.331 0.662 0.000 Er
0.669 0.338 0.000 Er
0.169 0.337 0.750 Er
0.831 0.663 0.250 Er

=====

Q: Which of these has the lowest DOS(E_F)?
A: ZnSn2P2O10